Entry 1:
Entry from the Alexandria database: crystalline Nd2Ho4Sc5 at its relaxed geometry (PBE).

Cell and atoms, written as POSCAR:
```
Nd2Ho4Sc5
1.0
8.4371 0.0000 0.0000
0.0000 3.4253 0.0000
-4.2022 0.0000 11.1930
Nd Ho Sc
2 4 5
direct
0.1227 0.0000 0.4003
0.8773 0.0000 0.5997
0.2655 0.5000 0.7406
0.2731 0.5000 0.1489
0.7269 0.5000 0.8511
0.7345 0.5000 0.2594
0.0843 0.0000 0.9001
0.4925 0.0000 0.6211
0.5000 0.0000 0.0000
0.5075 0.0000 0.3789
0.9157 0.0000 0.0999
```

Its space-group type is P2/m (10). The density of states at the Fermi level comes out at 1.63 states/eV/atom.

---

Entry 2:
Entry from the Alexandria database: crystalline NdHo5Sc5 at its relaxed geometry (PBE).

Cell and atoms, written as POSCAR:
```
NdHo5Sc5
1.0
5.7914 0.0000 0.0000
-2.8957 5.0155 0.0000
0.0000 0.0000 11.3092
Nd Ho Sc
1 5 5
direct
0.0000 0.0000 0.0000
0.0000 0.0000 0.3238
0.0000 0.0000 0.6762
0.3333 0.6667 0.1624
0.3333 0.6667 0.8376
0.6667 0.3333 0.0000
0.5022 0.0044 0.5000
0.5022 0.4978 0.5000
0.6667 0.3333 0.2693
0.6667 0.3333 0.7307
0.9956 0.4978 0.5000
```

Its space-group type is P-6m2 (187). The density of states at the Fermi level comes out at 1.98 states/eV/atom.

---

Entry 3:
Entry from the Alexandria database: crystalline Nd5HoSc4 at its relaxed geometry (PBE).

Cell and atoms, written as POSCAR:
```
Nd5HoSc4
1.0
3.5930 0.0000 0.0000
0.0000 3.5930 0.0000
0.0000 0.0000 23.3807
Nd Ho Sc
5 1 4
direct
0.0000 0.0000 0.0000
0.0000 0.0000 0.1957
0.0000 0.0000 0.3922
0.0000 0.0000 0.6078
0.0000 0.0000 0.8043
0.5000 0.5000 0.5000
0.5000 0.5000 0.0979
0.5000 0.5000 0.2938
0.5000 0.5000 0.7062
0.5000 0.5000 0.9021
```

Its space-group type is P4/mmm (123). The energy above the most stable polymorph in this dataset comes out at 0.0 meV/atom. The density of states at the Fermi level comes out at 1.53 states/eV/atom.

---

Entry 4:
Entry from the Alexandria database: crystalline Nd8Ho3Sc2 at its relaxed geometry (PBE).

Cell and atoms, written as POSCAR:
```
Nd8Ho3Sc2
1.0
3.8944 -9.8922 0.0000
3.8944 9.8922 0.0000
0.0000 0.0000 5.7002
Nd Ho Sc
8 3 2
direct
0.1319 0.8681 0.0000
0.1854 0.4061 0.5000
0.3208 0.6792 0.0000
0.4061 0.1854 0.5000
0.5939 0.8146 0.5000
0.6792 0.3208 0.0000
0.8146 0.5939 0.5000
0.8681 0.1319 0.0000
0.0000 0.0000 0.5000
0.2877 0.2877 0.0000
0.7123 0.7123 0.0000
0.2391 0.7609 0.5000
0.7609 0.2391 0.5000
```

Its space-group type is Cmmm (65). The energy above the most stable polymorph in this dataset comes out at 45.6 meV/atom. The density of states at the Fermi level comes out at 1.37 states/eV/atom.

---

Number 1: magnetization 0.126 μB/atom, final energy -58.00 eV/cell. Number 2: magnetization 0.248 μB/atom, final energy -56.68 eV/cell. Number 3: magnetization 0.000 μB/atom, final energy -53.27 eV/cell. Number 4: magnetization 0.000 μB/atom, final energy -61.77 eV/cell.